## i
A plane-wave DFT calculation with PBE-GGA was carried out for a relaxed structure of ZnSiTe.

Summary:
* total moment: 0.000 μB/atom
* volume: 21.868 Å³ per atom
* SG: P3m1, No. 156

```
3
Lattice="3.853 0.000 0.000 -1.926 3.337 0.000 0.000 0.000 5.103" Properties=species:S:1:pos:R:3 pbc="T T T"
Zn 0.000 0.000 0.000
Si 0.000 2.224 1.409
Te 1.926 1.112 3.095
```

---

## ii
A plane-wave DFT calculation with PBE-GGA was carried out for a relaxed structure of ZnSiTe.

Summary:
* total moment: 0.000 μB/atom
* volume: 24.323 Å³ per atom
* SG: I4mm, No. 107

```
3
Lattice="-1.768 1.768 5.835 1.768 -1.768 5.835 1.768 1.768 -5.835" Properties=species:S:1:pos:R:3 pbc="T T T"
Zn 0.000 0.000 0.000
Si 0.000 0.000 6.178
Te 0.000 0.000 8.736
```

---

It comes down to i, which is 98 meV/atom more stable than the next structure.

---

## i
A plane-wave DFT calculation with PBE-GGA was carried out for a relaxed structure of ZnSiTe.

Summary:
* total moment: 0.000 μB/atom
* volume: 20.755 Å³ per atom
* SG: Fmm2, No. 42

```
3
Lattice="0.000 2.554 5.594 2.179 0.000 5.594 2.179 2.554 0.000" Properties=species:S:1:pos:R:3 pbc="T T T"
Zn 0.000 0.000 0.000
Si 2.179 2.554 6.925
Te 2.179 2.554 3.362
```

---

## ii
A plane-wave DFT calculation with PBE-GGA was carried out for a relaxed structure of ZnSiTe.

Summary:
* total moment: 0.000 μB/atom
* volume: 22.073 Å³ per atom
* SG: P3m1, No. 156

```
3
Lattice="3.173 0.000 0.000 -1.586 2.748 0.000 0.000 0.000 7.597" Properties=species:S:1:pos:R:3 pbc="T T T"
Zn 0.000 0.000 0.000
Si 1.586 0.916 1.900
Te 0.000 1.832 5.149
```

---

It comes down to i, which is 105 meV/atom more stable than the next structure.

---

## i
A plane-wave DFT calculation with PBE-GGA was carried out for a relaxed structure of ZnSi2Te.

Summary:
* total moment: 0.000 μB/atom
* volume: 19.633 Å³ per atom
* SG: Cmmm, No. 65

```
4
Lattice="2.889 -3.786 0.000 2.889 3.786 0.000 0.000 0.000 3.590" Properties=species:S:1:pos:R:3 pbc="T T T"
Zn 0.000 0.000 0.000
Si 1.444 1.893 1.795
Si 1.444 -1.893 1.795
Te 2.889 0.000 0.000
```

---

## ii
A plane-wave DFT calculation with PBE-GGA was carried out for a relaxed structure of ZnSi2Te.

Summary:
* total moment: 0.000 μB/atom
* volume: 20.419 Å³ per atom
* SG: P4/mmm, No. 123

```
4
Lattice="2.937 0.000 0.000 0.000 2.937 0.000 0.000 0.000 9.471" Properties=species:S:1:pos:R:3 pbc="T T T"
Zn 0.000 0.000 0.000
Si 1.468 1.468 1.765
Si 1.468 1.468 7.706
Te 0.000 0.000 4.736
```

---

## iii
A plane-wave DFT calculation with PBE-GGA was carried out for a relaxed structure of ZnSi2Te.

Summary:
* total moment: 0.000 μB/atom
* volume: 19.514 Å³ per atom
* SG: Cmmm, No. 65

```
4
Lattice="2.644 -2.923 0.000 2.644 2.923 0.000 0.000 0.000 5.050" Properties=species:S:1:pos:R:3 pbc="T T T"
Zn 0.000 0.000 0.000
Si 2.644 1.696 2.525
Si 2.644 -1.696 2.525
Te 2.644 0.000 0.000
```

---

## iv
A plane-wave DFT calculation with PBE-GGA was carried out for a relaxed structure of ZnSi2Te.

Summary:
* total moment: 0.000 μB/atom
* volume: 21.852 Å³ per atom
* SG: Cm, No. 8

```
4
Lattice="3.511 -1.880 0.000 3.511 1.880 0.000 -0.023 0.000 6.623" Properties=species:S:1:pos:R:3 pbc="T T T"
Zn 0.000 0.000 0.000
Si 3.837 0.000 1.888
Si 6.104 0.000 2.693
Te 2.185 0.000 5.169
```

---

It comes down to iv, which is 134 meV/atom more stable than the next structure.

---

## i
A plane-wave DFT calculation with PBE-GGA was carried out for a relaxed structure of ZnSi2Te.

Summary:
* total moment: 0.000 μB/atom
* volume: 25.288 Å³ per atom
* SG: I-42d, No. 122

```
8
Lattice="-2.927 2.927 5.904 2.927 -2.927 5.904 2.927 2.927 -5.904" Properties=species:S:1:pos:R:3 pbc="T T T"
Zn 0.000 0.000 0.000
Zn 0.000 2.927 2.952
Si 4.390 1.205 -1.476
Si 1.205 1.463 1.476
Si -1.463 1.721 4.428
Si 1.721 1.463 7.380
Te 2.927 0.000 2.952
Te 0.000 0.000 5.904
```

---

## ii
A plane-wave DFT calculation with PBE-GGA was carried out for a relaxed structure of ZnSi2Te.

Summary:
* total moment: 0.000 μB/atom
* volume: 19.556 Å³ per atom
* SG: Fm-3m, No. 225

```
4
Lattice="0.000 3.394 3.394 3.394 0.000 3.394 3.394 3.394 0.000" Properties=species:S:1:pos:R:3 pbc="T T T"
Zn 0.000 0.000 0.000
Si 1.697 1.697 1.697
Si 5.092 5.092 5.092
Te 3.394 3.394 3.394
```

---

It comes down to i, which is 299 meV/atom more stable than the next structure.

---

## i
A plane-wave DFT calculation with PBE-GGA was carried out for a relaxed structure of ZnSi2Te.

Summary:
* total moment: 0.000 μB/atom
* volume: 20.309 Å³ per atom
* SG: I4/mmm, No. 139

```
4
Lattice="-1.903 1.903 5.609 1.903 -1.903 5.609 1.903 1.903 -5.609" Properties=species:S:1:pos:R:3 pbc="T T T"
Zn 0.000 0.000 0.000
Si 1.903 0.000 2.805
Si 0.000 1.903 2.805
Te 0.000 0.000 5.609
```

---

## ii
A plane-wave DFT calculation with PBE-GGA was carried out for a relaxed structure of ZnSi2Te.

Summary:
* total moment: 0.000 μB/atom
* volume: 19.997 Å³ per atom
* SG: Cmm2, No. 35

```
4
Lattice="1.813 -2.409 0.000 1.813 2.409 0.000 0.000 0.000 9.159" Properties=species:S:1:pos:R:3 pbc="T T T"
Zn 0.000 0.000 0.000
Si 0.000 0.000 3.660
Si 1.813 0.000 1.896
Te 1.813 0.000 6.679
```

---

It comes down to ii, which is 54 meV/atom more stable than the next structure.

---

## i
A plane-wave DFT calculation with PBE-GGA was carried out for a relaxed structure of Zn2Si2Te.

Summary:
* total moment: 0.000 μB/atom
* volume: 18.938 Å³ per atom
* SG: I4/mmm, No. 139

```
5
Lattice="-1.785 1.785 7.428 1.785 -1.785 7.428 1.785 1.785 -7.428" Properties=species:S:1:pos:R:3 pbc="T T T"
Zn 0.000 0.000 1.599
Zn 0.000 0.000 13.257
Si 1.785 0.000 3.714
Si 0.000 1.785 3.714
Te 0.000 0.000 7.428
```

---

## ii
A plane-wave DFT calculation with PBE-GGA was carried out for a relaxed structure of Zn2Si2Te.

Summary:
* total moment: 0.000 μB/atom
* volume: 19.267 Å³ per atom
* SG: I4/mmm, No. 139

```
5
Lattice="-2.146 2.146 5.231 2.146 -2.146 5.231 2.146 2.146 -5.231" Properties=species:S:1:pos:R:3 pbc="T T T"
Zn 2.146 0.000 2.616
Zn 0.000 2.146 2.616
Si 0.000 0.000 1.167
Si 0.000 0.000 9.296
Te 0.000 0.000 5.231
```

---

It comes down to i, which is 59 meV/atom more stable than the next structure.

---

## i
A plane-wave DFT calculation with PBE-GGA was carried out for a relaxed structure of ZnSi2Te2.

Summary:
* total moment: 0.000 μB/atom
* volume: 30.067 Å³ per atom
* SG: I4/mmm, No. 139

```
5
Lattice="-2.540 2.540 5.827 2.540 -2.540 5.827 2.540 2.540 -5.827" Properties=species:S:1:pos:R:3 pbc="T T T"
Zn 0.000 0.000 0.000
Si 2.540 0.000 2.913
Si 0.000 2.540 2.913
Te 0.000 0.000 3.967
Te 0.000 0.000 7.687
```

---

## ii
A plane-wave DFT calculation with PBE-GGA was carried out for a relaxed structure of ZnSi2Te2.

Summary:
* total moment: 0.000 μB/atom
* volume: 23.653 Å³ per atom
* SG: I4/mmm, No. 139

```
5
Lattice="-2.798 2.798 3.777 2.798 -2.798 3.777 2.798 2.798 -3.777" Properties=species:S:1:pos:R:3 pbc="T T T"
Zn 0.000 0.000 0.000
Si 0.000 0.000 2.478
Si 0.000 0.000 5.075
Te 2.798 0.000 1.888
Te 0.000 2.798 1.888
```

---

It comes down to ii, which is 248 meV/atom more stable than the next structure.

---

## i
A plane-wave DFT calculation with PBE-GGA was carried out for a relaxed structure of Zn3SiTe.

Summary:
* total moment: 0.000 μB/atom
* volume: 22.161 Å³ per atom
* SG: Pm-3m, No. 221

```
5
Lattice="4.803 0.000 0.000 0.000 4.803 0.000 0.000 0.000 4.803" Properties=species:S:1:pos:R:3 pbc="T T T"
Zn 0.000 0.000 2.402
Zn 0.000 2.402 0.000
Zn 2.402 0.000 0.000
Si 0.000 0.000 0.000
Te 2.402 2.402 2.402
```

---

## ii
A plane-wave DFT calculation with PBE-GGA was carried out for a relaxed structure of Zn3SiTe.

Summary:
* total moment: 0.000 μB/atom
* volume: 28.270 Å³ per atom
* SG: Pm-3m, No. 221

```
5
Lattice="5.209 0.000 0.000 0.000 5.209 0.000 0.000 0.000 5.209" Properties=species:S:1:pos:R:3 pbc="T T T"
Zn 0.000 0.000 2.605
Zn 0.000 2.605 0.000
Zn 2.605 0.000 0.000
Si 2.605 2.605 2.605
Te 0.000 0.000 0.000
```

---

It comes down to i, which is 725 meV/atom more stable than the next structure.